Density functional theory data (PBE-GGA) for a relaxed Ce2SiGe crystal.

Calculated values
E_form (uncorrected) = -538 meV/atom
Total energy = -24.1 eV per cell

Cell lengths 5.6251, 5.6251, 5.6251 Å; angles 49.96, 49.96, 49.96 degrees
With the nearest neighbours (Å) after each atom.
Positions (direct):
Ce  0.2484  0.2484  0.2484  3 Si 3.00, 3 Ge 3.01
Ce  0.7516  0.7516  0.7516  3 Si 3.00, 3 Ge 3.01
Si  0.5000  0.5000  0.5000  6 Ce 3.00
Ge  0.0000  0.0000  0.0000  6 Ce 3.01


Density functional theory data (PBE-GGA) for a relaxed Ce7Si2Ge2 crystal.

Calculated values
E_form (uncorrected) = -310 meV/atom
Total energy = -65.0 eV per cell

Cell lengths 6.6179, 6.6179, 6.9152 Å; angles 90.00, 90.00, 106.68 degrees
With the nearest neighbours (Å) after each atom.
Positions (direct):
Ce  0.0000  0.0000  0.0000  2 Ge 3.10
Ce  0.0000  0.5000  0.3050  1 Ce 2.70, 2 Ge 2.92
Ce  0.0000  0.5000  0.6950  1 Ce 2.70, 2 Ge 2.92
Ce  0.5000  0.0000  0.3050  1 Ce 2.70, 2 Ge 2.92
Ce  0.5000  0.0000  0.6950  1 Ce 2.70, 2 Ge 2.92
Ce  0.5000  0.5000  0.2998  1 Ce 2.77, 2 Ge 3.03, 2 Si 3.08
Ce  0.5000  0.5000  0.7002  1 Ce 2.77, 2 Ge 3.03, 2 Si 3.08
Si  0.1526  0.1526  0.5000  1 Si 2.41
Si  0.8474  0.8474  0.5000  1 Si 2.41
Ge  0.2917  0.7083  0.0000  7 Ce 2.92-3.10
Ge  0.7083  0.2917  0.0000  7 Ce 2.92-3.10


Density functional theory data (PBE-GGA) for a relaxed Ce2SiGe3 crystal.

Calculated values
E_form (uncorrected) = -573 meV/atom
Total energy = -34.6 eV per cell

Cell lengths 4.0819, 4.0957, 7.7877 Å; angles 90.00, 90.00, 90.00 degrees
With the nearest neighbours (Å) after each atom.
Positions (direct):
Ce  0.0000  0.0000  0.0000  10 Ge 3.16-3.44, 2 Si 3.28
Ce  0.0000  0.5000  0.4858  4 Si 3.14, 8 Ge 3.14-3.40
Si  0.5000  0.0000  0.3291  3 Ge 2.41-2.46
Ge  0.5000  0.0000  0.6447  1 Si 2.46, 2 Ge 2.53
Ge  0.5000  0.5000  0.1661  2 Si 2.41, 1 Ge 2.58
Ge  0.5000  0.5000  0.8353  3 Ge 2.53-2.58


Density functional theory data (PBE-GGA) for a relaxed CeSiGe crystal.

Calculated values
E_form (uncorrected) = -579 meV/atom
Polymorph energy (0 for the lowest one) = 30 meV/atom
Total energy = -17.7 eV per cell

Cell lengths 4.2057, 4.2057, 4.0839 Å; angles 90.00, 90.00, 120.00 degrees
With the nearest neighbours (Å) after each atom.
Positions (direct):
Ce  0.0000  0.0000  0.0000  6 Ge 3.17, 6 Si 3.17
Si  0.3333  0.6667  0.5000  3 Ge 2.43
Ge  0.6667  0.3333  0.5000  3 Si 2.43


Question: Which formula does entry 3 have?
Answer: Ce2SiGe3